ZrHSe | PBE | relaxed

## Properties
Calculated total energy = -6.100 eV per atom

a b c (Å): 5.5165 3.5712 9.5369
angles (deg): 90.00 103.91 90.00
Closest atoms and distances in Å follow each position.
Sites, in units of the cell vectors:
Se: 0.4287 0.0000 0.4154  3 H 2.68-2.81, 5 Zr 2.72-2.79
Se: 0.8953 0.5000 0.2707  5 Zr 2.74-2.97, 4 H 2.79-3.04
Se: 0.8953 0.0000 0.7707  5 Zr 2.74-2.97, 4 H 2.79-3.04
Se: 0.4287 0.5000 0.9154  3 H 2.68-2.81, 5 Zr 2.72-2.79
Zr: 0.3412 0.0000 0.6842  4 H 2.09-2.12
Zr: 0.7906 0.0000 0.0469  2 H 1.98-2.01
Zr: 0.7906 0.5000 0.5469  2 H 1.98-2.01
Zr: 0.3412 0.5000 0.1842  4 H 2.09-2.12
H: 0.5137 0.5000 0.6502  1 H 1.90, 3 Zr 2.01-2.09
H: 0.1596 0.5000 0.5958  1 H 1.90, 3 Zr 1.98-2.12
H: 0.1596 0.0000 0.0958  1 H 1.90, 3 Zr 1.98-2.12
H: 0.5137 0.0000 0.1502  1 H 1.90, 3 Zr 2.01-2.09

***

ZrHSe2 | PBE | relaxed

## Properties
Distance to the lowest polymorph of the same formula = 0.0 meV/atom
Calculated total energy = -5.505 eV per atom

a b c (Å): 7.1101 7.1101 7.1101
angles (deg): 30.86 30.86 30.86
Closest atoms and distances in Å follow each position.
Sites, in units of the cell vectors:
Se: 0.0867 0.0867 0.0867  1 H 1.76
Se: 0.9133 0.9133 0.9133  1 H 1.76
Zr: 0.5000 0.5000 0.5000  6 Se 2.72
H: 0.0000 0.0000 0.0000  2 Se 1.76

***

ZrHSe2 | PBE | relaxed

## Properties
Distance to the lowest polymorph of the same formula = 552.4 meV/atom
Calculated total energy = -4.952 eV per atom

a b c (Å): 4.6408 4.6408 4.6408
angles (deg): 60.00 60.00 60.00
Closest atoms and distances in Å follow each position.
Sites, in units of the cell vectors:
Se: 0.7500 0.7500 0.7500  4 Zr 2.84, 4 H 2.84
Se: 0.2500 0.2500 0.2500  4 Zr 2.84, 4 H 2.84
Zr: 0.5000 0.5000 0.5000  8 Se 2.84
H: 0.0000 0.0000 0.0000  8 Se 2.84

***

ZrHSe | PBE | relaxed

## Properties
Calculated total energy = -6.112 eV per atom

a b c (Å): 9.4938 3.6133 6.2655
angles (deg): 90.00 102.87 90.00
Closest atoms and distances in Å follow each position.
Sites, in units of the cell vectors:
H: 0.5779 0.5000 0.1931  4 Zr 2.05-2.17
H: 0.5779 0.0000 0.6931  4 Zr 2.05-2.17
H: 0.4221 0.5000 0.8069  4 Zr 2.05-2.17
H: 0.4221 0.0000 0.3069  4 Zr 2.05-2.17
Zr: 0.3564 0.0000 0.6180  4 H 2.05-2.17
Zr: 0.3564 0.5000 0.1180  4 H 2.05-2.17
Zr: 0.6436 0.0000 0.3820  4 H 2.05-2.17
Zr: 0.6436 0.5000 0.8820  4 H 2.05-2.17
Se: 0.8234 0.5000 0.6093  3 Zr 2.67
Se: 0.1766 0.5000 0.3907  3 Zr 2.67
Se: 0.8234 0.0000 0.1093  3 Zr 2.67
Se: 0.1766 0.0000 0.8907  3 Zr 2.67

***

ZrHSe | PBE | relaxed

## Properties
Calculated total energy = -6.021 eV per atom

a b c (Å): 3.5651 3.5657 9.7702
angles (deg): 90.16 100.00 120.01
Closest atoms and distances in Å follow each position.
Sites, in units of the cell vectors:
Zr: 0.4029 0.3769 0.9582  4 H 1.98-2.17
Zr: 0.5497 0.9478 0.6656  4 H 2.10-2.22
H: 0.6897 0.0196 0.8851  4 Zr 2.10-2.17
H: 0.2712 0.3092 0.7514  2 Zr 1.98-2.22
Se: 0.1010 0.2219 0.4849  1 H 2.55, 3 Zr 2.69
Se: 0.1824 0.7680 0.1345  3 Zr 2.66

***

Zr2HSe3 | PBE | relaxed

## Properties
Calculated total energy = -6.211 eV per atom

a b c (Å): 3.7723 7.6813 9.5977
angles (deg): 68.73 78.67 75.79
Closest atoms and distances in Å follow each position.
Sites, in units of the cell vectors:
Zr: 0.4095 0.7344 0.4466  2 H 2.09-2.11
Zr: 0.8592 0.4743 0.8074  2 H 2.43, 4 Se 2.65-2.68
Zr: 0.5905 0.2656 0.5534  2 H 2.09-2.11
Zr: 0.1408 0.5257 0.1926  2 H 2.43, 4 Se 2.65-2.68
H: 0.5652 0.5101 0.3595  2 Zr 2.09-2.11
H: 0.4348 0.4899 0.6405  2 Zr 2.09-2.11
Se: 0.2261 0.1685 0.3793  3 Zr 2.66-2.75
Se: 0.6529 0.6973 0.9968  3 Zr 2.65-2.81
Se: 0.3471 0.3027 0.0032  3 Zr 2.65-2.81
Se: 0.0491 0.1355 0.7663  3 Zr 2.68-2.69
Se: 0.9509 0.8645 0.2337  3 Zr 2.68-2.69
Se: 0.7739 0.8315 0.6207  3 Zr 2.66-2.75